No. 1
Entry from Alexandria via LeMat-Bulk: a relaxed SrInS crystal (GGA-PBE).

abc: 8.8391 8.8391 8.8391
angles: 33.31 33.31 33.31
With the nearest neighbours (Å) after each atom.
Sites, in units of the cell vectors:
Sr (0.1006, 0.1006, 0.1006)  4 S 2.94-2.97
Sr (0.8994, 0.8994, 0.8994)  4 S 2.94-2.97
In (0.3267, 0.3267, 0.3267)  1 S 2.69, 3 In 2.94
In (0.6733, 0.6733, 0.6733)  1 S 2.69, 3 In 2.94
S (0.2193, 0.2193, 0.2193)  1 In 2.69, 4 Sr 2.94-2.97
S (0.7807, 0.7807, 0.7807)  1 In 2.69, 4 Sr 2.94-2.97


No. 2
Entry from Alexandria via LeMat-Bulk: a relaxed Sr2InS3 crystal (GGA-PBE).

Excess energy over the best structure of this formula in the dataset   0.0000 eV/atom

abc: 7.3360 7.3360 8.5090
angles: 106.81 106.81 47.35
With the nearest neighbours (Å) after each atom.
Sites, in units of the cell vectors:
Sr (0.1659, 0.1660, 0.0830)  6 S 2.95-3.04
Sr (0.1660, 0.1659, 0.5830)  6 S 2.95-3.04
Sr (0.8340, 0.8341, 0.4170)  6 S 2.95-3.04
Sr (0.8341, 0.8340, 0.9170)  6 S 2.95-3.04
In (0.4993, 0.5007, 0.7500)  6 S 2.93-2.99
In (0.5007, 0.4993, 0.2500)  6 S 2.93-2.99
S (0.0015, 0.9985, 0.7500)  2 In 2.93-2.96, 4 Sr 3.00
S (0.3357, 0.3357, 0.4179)  4 Sr 2.95-3.04, 2 In 2.98-2.99
S (0.3357, 0.3357, 0.9179)  4 Sr 2.95-3.04, 2 In 2.98-2.99
S (0.6643, 0.6643, 0.0821)  4 Sr 2.95-3.04, 2 In 2.98-2.99
S (0.6643, 0.6643, 0.5821)  4 Sr 2.95-3.04, 2 In 2.98-2.99
S (0.9985, 0.0015, 0.2500)  2 In 2.93-2.96, 4 Sr 3.00


No. 3
Entry from Alexandria via LeMat-Bulk: a relaxed Sr2InS crystal (GGA-PBE).

Excess energy over the best structure of this formula in the dataset   0.0000 eV/atom

abc: 4.1692 4.1692 26.5280
angles: 90.00 90.00 120.00
With the nearest neighbours (Å) after each atom.
Sites, in units of the cell vectors:
Sr (0.0000, 0.0000, 0.2340)  3 S 3.00
Sr (0.0000, 0.0000, 0.7660)  3 S 3.00
Sr (0.3333, 0.6667, 0.4327)  3 S 3.00
Sr (0.3333, 0.6667, 0.9007)  3 S 3.00
Sr (0.6667, 0.3333, 0.0993)  3 S 3.00
Sr (0.6667, 0.3333, 0.5673)  3 S 3.00
In (0.0000, 0.0000, 0.0000)  6 Sr 3.57
In (0.3333, 0.6667, 0.6667)  6 Sr 3.57
In (0.6667, 0.3333, 0.3333)  6 Sr 3.57
S (0.0000, 0.0000, 0.5000)  6 Sr 3.00
S (0.3333, 0.6667, 0.1667)  6 Sr 3.00
S (0.6667, 0.3333, 0.8333)  6 Sr 3.00


No. 4
Entry from Alexandria via LeMat-Bulk: a relaxed SrIn3S crystal (GGA-PBE).

Excess energy over the best structure of this formula in the dataset   0.0000 eV/atom

abc: 5.4844 5.4844 5.4844
angles: 90.00 90.00 90.00
With the nearest neighbours (Å) after each atom.
Sites, in units of the cell vectors:
Sr (0.0000, 0.0000, 0.0000)  12 In 3.88
In (0.0000, 0.5000, 0.5000)  2 S 2.74
In (0.5000, 0.0000, 0.5000)  2 S 2.74
In (0.5000, 0.5000, 0.0000)  2 S 2.74
S (0.5000, 0.5000, 0.5000)  6 In 2.74


The evaluated electronic total energy for the records listed, in turn: -24.40; -55.06; -44.35; -14.30 eV per cell.